*i*
Here is a relaxed structure of LiNpS3 from Alexandria via LeMat-Bulk. Energies are from PBE.

Cell: 6.507 6.844 9.320 Å, 90.00 101.69 90.00°
Fractional coordinates of all 20 atoms:
Li  0.079  0.221  0.460
Li  0.079  0.279  0.960
Li  0.921  0.721  0.040
Li  0.921  0.779  0.540
Np  0.439  0.692  0.820
Np  0.439  0.808  0.320
Np  0.561  0.192  0.680
Np  0.561  0.308  0.180
S  0.198  0.109  0.214
S  0.198  0.391  0.714
S  0.278  0.586  0.068
S  0.278  0.914  0.568
S  0.385  0.066  0.917
S  0.385  0.434  0.417
S  0.615  0.566  0.583
S  0.615  0.934  0.083
S  0.722  0.086  0.432
S  0.722  0.414  0.932
S  0.802  0.609  0.286
S  0.802  0.891  0.786

Summary:
magnetic moment	3.0	μB/f.u.
DOS(E_F)	34.75	states/eV per cell
V	20.3	Å³ per atom
space-group type	P2_1/c (14)



*ii*
Here is a relaxed structure of LiNpS3 from Alexandria via LeMat-Bulk. Energies are from PBE.

Cell: 5.121 5.121 5.121 Å, 90.00 90.00 90.00°
Fractional coordinates of all 5 atoms:
Li  0.000  0.000  0.000
Np  0.500  0.500  0.500
S  0.000  0.500  0.500
S  0.500  0.000  0.500
S  0.500  0.500  0.000

Summary:
magnetic moment	2.0	μB/f.u.
DOS(E_F)	8.45	states/eV per cell
V	26.9	Å³ per atom
space-group type	Pm-3m (221)



*iii*
Here is a relaxed structure of LiNpS3 from Alexandria via LeMat-Bulk. Energies are from PBE.

Cell: 7.213 3.741 8.176 Å, 90.00 114.49 90.00°
Fractional coordinates of all 10 atoms:
Li  0.032  0.250  0.306
Li  0.968  0.750  0.694
Np  0.487  0.750  0.752
Np  0.513  0.250  0.248
S  0.206  0.250  0.649
S  0.304  0.750  0.999
S  0.306  0.750  0.358
S  0.694  0.250  0.642
S  0.696  0.250  0.001
S  0.794  0.750  0.351

Summary:
magnetic moment	2.2	μB/f.u.
DOS(E_F)	15.82	states/eV per cell
V	20.1	Å³ per atom
space-group type	P2_1/m (11)



The energy of each structure relative to the most stable one, in eV/atom, is as follows: *i* 0.006; *ii* 0.205; *iii* 0.000.



*i*
Here is a relaxed structure of LiNpSb2 from Alexandria via LeMat-Bulk. Energies are from PBE.

Cell: 3.825 3.825 6.555 Å, 90.00 90.00 90.00°
Fractional coordinates of all 4 atoms:
Li  0.000  0.000  0.000
Np  0.000  0.000  0.500
Sb  0.500  0.500  0.231
Sb  0.500  0.500  0.769

Summary:
magnetic moment	4.4	μB/f.u.
DOS(E_F)	10.30	states/eV per cell
V	24.0	Å³ per atom
space-group type	P4/mmm (123)



*ii*
Here is a relaxed structure of LiNpSb2 from Alexandria via LeMat-Bulk. Energies are from PBE.

Cell: 5.191 5.191 5.191 Å, 60.00 60.00 60.00°
Fractional coordinates of all 4 atoms:
Li  0.000  0.000  0.000
Np  0.500  0.500  0.500
Sb  0.250  0.250  0.250
Sb  0.750  0.750  0.750

Summary:
magnetic moment	4.0	μB/f.u.
DOS(E_F)	14.04	states/eV per cell
V	24.7	Å³ per atom
space-group type	Fm-3m (225)



*iii*
Here is a relaxed structure of LiNpSb2 from Alexandria via LeMat-Bulk. Energies are from PBE.

Cell: 4.296 4.296 10.541 Å, 90.00 90.00 90.00°
Fractional coordinates of all 8 atoms:
Li  0.250  0.750  0.000
Li  0.750  0.250  0.000
Np  0.250  0.250  0.269
Np  0.750  0.750  0.731
Sb  0.250  0.250  0.827
Sb  0.250  0.750  0.500
Sb  0.750  0.250  0.500
Sb  0.750  0.750  0.173

Summary:
magnetic moment	3.7	μB/f.u.
DOS(E_F)	20.94	states/eV per cell
V	24.3	Å³ per atom
space-group type	P4/nmm (129)



The energy of each structure relative to the most stable one, in eV/atom, is as follows: *i* 0.154; *ii* 0.192; *iii* 0.000.



*i*
Here is a relaxed structure of LiNpSb2 from Alexandria via LeMat-Bulk. Energies are from PBE.

Cell: 5.543 5.543 3.215 Å, 90.00 90.00 90.00°
Fractional coordinates of all 4 atoms:
Li  0.000  0.000  0.000
Np  0.500  0.500  0.000
Sb  0.000  0.500  0.500
Sb  0.500  0.000  0.500

Summary:
magnetic moment	3.9	μB/f.u.
DOS(E_F)	8.98	states/eV per cell
V	24.7	Å³ per atom
space-group type	P4/mmm (123)



*ii*
Here is a relaxed structure of LiNpSb2 from Alexandria via LeMat-Bulk. Energies are from PBE.

Cell: 6.969 6.969 6.969 Å, 37.26 37.26 37.26°
Fractional coordinates of all 4 atoms:
Li  0.000  0.000  0.000
Np  0.179  0.179  0.179
Sb  0.601  0.601  0.601
Sb  0.755  0.755  0.755

Summary:
magnetic moment	3.9	μB/f.u.
DOS(E_F)	13.05	states/eV per cell
V	27.8	Å³ per atom
space-group type	R3m (160)



The energy of each structure relative to the most stable one, in eV/atom, is as follows: *i* 0.000; *ii* 0.109.



*i*
Here is a relaxed structure of Li2NpSe3 from Alexandria via LeMat-Bulk. Energies are from PBE.

Cell: 13.350 12.720 6.900 Å, 79.76 69.67 30.57°
Fractional coordinates of all 24 atoms:
Li  0.041  0.041  0.209
Li  0.127  0.127  0.623
Li  0.209  0.209  0.041
Li  0.377  0.377  0.873
Li  0.623  0.623  0.127
Li  0.791  0.791  0.959
Li  0.873  0.873  0.377
Li  0.959  0.959  0.791
Np  0.292  0.292  0.458
Np  0.458  0.458  0.292
Np  0.542  0.542  0.708
Np  0.708  0.708  0.542
Se  0.043  0.537  0.211
Se  0.126  0.624  0.624
Se  0.211  0.709  0.043
Se  0.291  0.789  0.463
Se  0.376  0.874  0.874
Se  0.463  0.957  0.291
Se  0.537  0.043  0.709
Se  0.624  0.126  0.126
Se  0.709  0.211  0.537
Se  0.789  0.291  0.957
Se  0.874  0.376  0.376
Se  0.957  0.463  0.789

Summary:
magnetic moment	3.0	μB/f.u.
DOS(E_F)	27.31	states/eV per cell
V	22.5	Å³ per atom
space-group type	Fddd (70)



*ii*
Here is a relaxed structure of Li2NpSe3 from Alexandria via LeMat-Bulk. Energies are from PBE.

Cell: 6.850 6.850 4.181 Å, 90.00 90.00 131.38°
Fractional coordinates of all 6 atoms:
Li  0.137  0.863  0.000
Li  0.863  0.137  0.000
Np  0.500  0.500  0.500
Se  0.000  0.000  0.500
Se  0.350  0.650  0.000
Se  0.650  0.350  0.000

Summary:
magnetic moment	3.0	μB/f.u.
DOS(E_F)	10.12	states/eV per cell
V	24.5	Å³ per atom
space-group type	Cmmm (65)



The energy of each structure relative to the most stable one, in eV/atom, is as follows: *i* 0.000; *ii* 0.021.



*i*
Here is a relaxed structure of LiNpSi4 from Alexandria via LeMat-Bulk. Energies are from PBE.

Cell: 5.152 5.152 5.152 Å, 60.00 60.00 60.00°
Fractional coordinates of all 6 atoms:
Li  0.000  0.000  0.000
Np  0.250  0.250  0.250
Si  0.121  0.626  0.626
Si  0.626  0.121  0.626
Si  0.626  0.626  0.121
Si  0.626  0.626  0.626

Summary:
magnetic moment	4.0	μB/f.u.
DOS(E_F)	11.04	states/eV per cell
V	16.1	Å³ per atom
space-group type	F-43m (216)



*ii*
Here is a relaxed structure of LiNpSi4 from Alexandria via LeMat-Bulk. Energies are from PBE.

Cell: 5.428 5.428 5.428 Å, 137.78 107.19 87.93°
Fractional coordinates of all 6 atoms:
Li  0.000  0.000  0.000
Np  0.389  0.889  0.500
Si  0.341  0.585  0.756
Si  0.577  0.265  0.311
Si  0.828  0.585  0.244
Si  0.954  0.265  0.689

Summary:
magnetic moment	4.2	μB/f.u.
DOS(E_F)	6.93	states/eV per cell
V	16.4	Å³ per atom
space-group type	Imm2 (44)



The energy of each structure relative to the most stable one, in eV/atom, is as follows: *i* 0.034; *ii* 0.000.



*i*
Here is a relaxed structure of Li2NpTe3 from Alexandria via LeMat-Bulk. Energies are from PBE.

Cell: 7.366 4.363 10.483 Å, 90.00 90.52 90.00°
Fractional coordinates of all 12 atoms:
Li  0.072  0.250  0.183
Li  0.236  0.750  0.517
Li  0.764  0.250  0.483
Li  0.928  0.750  0.817
Np  0.409  0.250  0.821
Np  0.591  0.750  0.179
Te  0.074  0.250  0.666
Te  0.254  0.750  0.999
Te  0.415  0.250  0.336
Te  0.585  0.750  0.664
Te  0.746  0.250  0.001
Te  0.926  0.750  0.334

Summary:
magnetic moment	3.0	μB/f.u.
DOS(E_F)	16.24	states/eV per cell
V	28.1	Å³ per atom
space-group type	P2_1/m (11)



*ii*
Here is a relaxed structure of Li2NpTe3 from Alexandria via LeMat-Bulk. Energies are from PBE.

Cell: 7.486 7.486 7.358 Å, 99.73 99.73 120.00°
Fractional coordinates of all 12 atoms:
Li  0.000  0.000  0.000
Li  0.170  0.830  0.500
Li  0.500  0.500  0.500
Li  0.830  0.170  0.500
Np  0.334  0.666  0.000
Np  0.666  0.334  0.000
Te  0.083  0.418  0.251
Te  0.252  0.252  0.746
Te  0.418  0.083  0.251
Te  0.582  0.917  0.749
Te  0.748  0.748  0.254
Te  0.917  0.582  0.749

Summary:
magnetic moment	3.0	μB/f.u.
DOS(E_F)	14.87	states/eV per cell
V	28.0	Å³ per atom
space-group type	C2/m (12)



The energy of each structure relative to the most stable one, in eV/atom, is as follows: *i* 0.016; *ii* 0.000.